Entry 1:
TmPuGa: optimized geometry, PBE-GGA.

```
data_TmPuGa
_chemical_formula_sum 'Tm2 Pu2 Ga2'
_space_group_name_H-M_alt 'P 4/n m m'
_space_group_IT_number 129
_cell_length_a 3.5833
_cell_length_b 3.5833
_cell_length_c 9.9106
_cell_angle_alpha 90.00
_cell_angle_beta 90.00
_cell_angle_gamma 90.00
loop_
_space_group_symop_operation_xyz
'x,y,z'
'-x,-y,-z'
'-y+1/2,x,z'
'y+1/2,-x,-z'
'-x+1/2,-y+1/2,z'
'x+1/2,y+1/2,-z'
'y,-x+1/2,z'
'-y,x+1/2,-z'
'x+1/2,-y,-z'
'-x+1/2,y,z'
'-y,-x,-z'
'y,x,z'
'-x,y+1/2,-z'
'x,-y+1/2,z'
'y+1/2,x+1/2,-z'
'-y+1/2,-x+1/2,z'
loop_
_atom_site_label
_atom_site_fract_x
_atom_site_fract_y
_atom_site_fract_z
Tm1 0.2500 0.2500 0.1267
Pu1 0.2500 0.7500 0.5000
Ga1 0.2500 0.2500 0.7337
```

Properties
The volume comes out at 127 Å³/cell. The formation energy is -0.023 eV/atom. As for the total magnetization: 0.0 Bohr magnetons per cell. The uncorrected energy comes out at -7.3001 eV/atom. The value obtained for the energy relative to the lowest polymorph listed for this composition is 196.0 meV per atom.

Entry 2:
Pr4AlNi: optimized geometry, PBE-GGA.

```
data_Pr4AlNi
_chemical_formula_sum 'Pr8 Al2 Ni2'
_space_group_name_H-M_alt 'P 1 21/m 1'
_space_group_IT_number 11
_space_group_name_Hall '-P 2yb'
_cell_length_a 5.7080
_cell_length_b 7.1646
_cell_length_c 8.5267
_cell_angle_alpha 90.00
_cell_angle_beta 101.43
_cell_angle_gamma 90.00
loop_
_atom_site_label
_atom_site_fract_x
_atom_site_fract_y
_atom_site_fract_z
Pr1 0.1205 0.2500 0.0462
Pr2 0.2084 0.7500 0.3810
Pr3 0.3475 0.5113 0.7564
Al1 0.2322 0.2500 0.4220
Ni1 0.3667 0.7500 0.0463
```

Properties
The volume comes out at 342 Å³/cell. The formation energy is -0.163 eV/atom. As for the total magnetization: 0.0 Bohr magnetons per cell. The uncorrected energy comes out at -4.9362 eV/atom. The value obtained for the energy relative to the lowest polymorph listed for this composition is 0.0 meV per atom.

Entry 3:
Ta4NiOs: optimized geometry, PBE-GGA.

```
data_Ta4NiOs
_chemical_formula_sum 'Ta16 Ni4 Os4'
_space_group_name_H-M_alt 'F -4 3 m'
_space_group_IT_number 216
_space_group_name_Hall 'F -4 2 3'
_cell_length_a 7.4757
_cell_length_b 7.4757
_cell_length_c 7.4757
_cell_angle_alpha 90.00
_cell_angle_beta 90.00
_cell_angle_gamma 90.00
loop_
_atom_site_label
_atom_site_fract_x
_atom_site_fract_y
_atom_site_fract_z
Ta1 0.1242 0.1242 0.3758
Ni1 0.0000 0.0000 0.0000
Os1 0.2500 0.2500 0.7500
```

Properties
The volume comes out at 418 Å³/cell. The formation energy is 0.526 eV/atom. As for the total magnetization: 0.0 Bohr magnetons per cell. The uncorrected energy comes out at -10.2108 eV/atom.

Entry 4:
K2As2Cl: optimized geometry, PBE-GGA.

```
data_K2As2Cl
_chemical_formula_sum 'K4 As4 Cl2'
_space_group_name_H-M_alt 'I 4/m m m'
_space_group_IT_number 139
_space_group_name_Hall '-I 4 2'
_cell_length_a 3.8409
_cell_length_b 3.8409
_cell_length_c 18.8385
_cell_angle_alpha 90.00
_cell_angle_beta 90.00
_cell_angle_gamma 90.00
loop_
_atom_site_label
_atom_site_fract_x
_atom_site_fract_y
_atom_site_fract_z
K1 0.0000 0.0000 0.0978
As1 0.0000 0.5000 0.2500
Cl1 0.0000 0.0000 0.5000
```

Properties
The volume comes out at 278 Å³/cell. As for the total magnetization: 0.0 Bohr magnetons per cell. The uncorrected energy comes out at -3.5415 eV/atom.

Entry 5:
KZrHg3: optimized geometry, PBE-GGA.

```
data_KZrHg3
_chemical_formula_sum 'K1 Zr1 Hg3'
_space_group_name_H-M_alt 'P m -3 m'
_space_group_IT_number 221
_space_group_name_Hall '-P 4 2 3'
_cell_length_a 5.6688
_cell_length_b 5.6688
_cell_length_c 5.6688
_cell_angle_alpha 90.00
_cell_angle_beta 90.00
_cell_angle_gamma 90.00
loop_
_atom_site_label
_atom_site_fract_x
_atom_site_fract_y
_atom_site_fract_z
K1 0.0000 0.0000 0.0000
Zr1 0.5000 0.5000 0.5000
Hg1 0.0000 0.5000 0.5000
```

Properties
The volume comes out at 182 Å³/cell. The formation energy is 0.174 eV/atom. As for the total magnetization: 0.5 Bohr magnetons per cell. The uncorrected energy comes out at -1.9364 eV/atom. The value obtained for the energy relative to the lowest polymorph listed for this composition is 0.0 meV per atom.

Entry 6:
BaTi3Co: optimized geometry, PBE-GGA.

```
data_BaTi3Co
_chemical_formula_sum 'Ba1 Ti3 Co1'
_space_group_name_H-M_alt 'P m -3 m'
_space_group_IT_number 221
_space_group_name_Hall '-P 4 2 3'
_cell_length_a 4.7603
_cell_length_b 4.7603
_cell_length_c 4.7603
_cell_angle_alpha 90.00
_cell_angle_beta 90.00
_cell_angle_gamma 90.00
loop_
_atom_site_label
_atom_site_fract_x
_atom_site_fract_y
_atom_site_fract_z
Ba1 0.0000 0.0000 0.0000
Ti1 0.0000 0.5000 0.5000
Co1 0.5000 0.5000 0.5000
```

Properties
The volume comes out at 108 Å³/cell. The formation energy is 0.387 eV/atom. As for the total magnetization: 0.0 Bohr magnetons per cell. The uncorrected energy comes out at -6.1557 eV/atom. The value obtained for the energy relative to the lowest polymorph listed for this composition is 0.0 meV per atom.